BaOsC3: relaxed, PBE.

## Properties
* energy of formation: 1187.6 meV/atom
* distance to the lowest polymorph of the same formula: 0.0 kJ/mol of atoms

a b c (Å): 4.1310 4.1310 4.1310
angles (deg): 90.00 90.00 90.00
Positions (direct):
C (0.0000, 0.5000, 0.0000)
C (0.0000, 0.0000, 0.5000)
C (0.5000, 0.0000, 0.0000)
Os (0.0000, 0.0000, 0.0000)
Ba (0.5000, 0.5000, 0.5000)